Ba2InH after structural relaxation, computed with GGA-PBEsol.

Unit cell a=6.9738 b=6.9738 c=6.9738 alpha=110.40 beta=110.40 gamma=107.64
Element x y z (fractional)
Ba 0.0303 0.1250 0.4053
Ba 0.3750 0.9697 0.0947
Ba 0.7197 0.6250 0.5947
Ba 0.8750 0.2803 0.9053
In 0.2500 0.7500 0.5000
In 0.5000 0.5000 0.0000
H 0.0000 0.0000 0.0000
H 0.7500 0.2500 0.5000

Total energy (eV per atom): -2.91